In5Ga4 after structural relaxation. Source: Alexandria via LeMat-Bulk, functional PBE.

a = 6.0341 Å, b = 6.0341 Å, c = 9.7522 Å
α = 114.91°, β = 114.91°, γ = 43.23°
Closest atoms and distances in Å follow each position.
Fractional coordinates of all 9 atoms:
In: 0.0000 0.0000 0.0000  4 Ga 2.94
In: 0.1169 0.1169 0.4066  5 Ga 2.96-3.05
In: 0.2468 0.2468 0.8465  6 Ga 3.01-3.31
In: 0.7532 0.7532 0.1535  6 Ga 3.01-3.31
In: 0.8831 0.8831 0.5934  5 Ga 2.96-3.05
Ga: 0.3710 0.3710 0.3845  2 Ga 2.69-2.75, 5 In 2.96-3.01
Ga: 0.4688 0.4688 0.1782  1 Ga 2.69, 2 In 2.94
Ga: 0.5312 0.5312 0.8218  1 Ga 2.69, 2 In 2.94
Ga: 0.6290 0.6290 0.6155  2 Ga 2.69-2.75, 5 In 2.96-3.01

* formation energy from the elements: 4.6 kJ per mole of atoms
* spin magnetization: 0.0 μB/f.u.
* mass density: 6.53 g/cm³
* space-group type: C2/m, No. 12

InGa3 after structural relaxation. Source: Alexandria via LeMat-Bulk, functional PBE.

a = 4.9353 Å, b = 4.9353 Å, c = 4.9353 Å
α = 60.00°, β = 60.00°, γ = 60.00°
Closest atoms and distances in Å follow each position.
Fractional coordinates of all 4 atoms:
In: 0.0000 0.0000 0.0000  8 Ga 3.02
Ga: 0.2500 0.2500 0.2500  4 Ga 3.02, 4 In 3.02
Ga: 0.5000 0.5000 0.5000  8 Ga 3.02
Ga: 0.7500 0.7500 0.7500  4 Ga 3.02, 4 In 3.02

* formation energy from the elements: 4.1 kJ per mole of atoms
* spin magnetization: 0.0 μB/f.u.
* mass density: 6.33 g/cm³
* space-group type: Fm-3m, No. 225

InGa after structural relaxation. Source: Alexandria via LeMat-Bulk, functional PBE.

a = 7.4455 Å, b = 7.4455 Å, c = 7.4455 Å
α = 109.47°, β = 109.47°, γ = 109.47°
Closest atoms and distances in Å follow each position.
Fractional coordinates of all 8 atoms:
In: 0.0000 0.0000 0.3915  4 Ga 2.75-2.87
In: 0.0000 0.3915 0.0000  4 Ga 2.75-2.87
In: 0.3915 0.0000 0.0000  4 Ga 2.75-2.87
In: 0.6085 0.6085 0.6085  4 Ga 2.75-2.87
Ga: 0.0000 0.0000 0.7605  4 In 2.75-2.87, 3 Ga 2.91
Ga: 0.0000 0.7605 0.0000  4 In 2.75-2.87, 3 Ga 2.91
Ga: 0.2395 0.2395 0.2395  4 In 2.75-2.87, 3 Ga 2.91
Ga: 0.7605 0.0000 0.0000  4 In 2.75-2.87, 3 Ga 2.91

* formation energy from the elements: 33.0 kJ per mole of atoms
* spin magnetization: 0.0 μB/f.u.
* mass density: 3.86 g/cm³
* space-group type: I-43m, No. 217